[1]
Computed, not measured: NpTcMo after structural relaxation at the PBE-GGA level of DFT.

Cell lengths 7.7115, 7.7115, 2.6544 Å; angles 96.72, 96.72, 19.01 degrees
With the nearest neighbours (Å) after each atom.
Sites, in units of the cell vectors:
Np 0.0000 0.0000 0.0000  4 Np 2.55-2.65, 1 Mo 2.73
Tc 0.3330 0.3330 0.4937  4 Tc 2.55-2.65, 2 Mo 2.68-2.84
Mo 0.1731 0.1731 0.8218  4 Mo 2.55-2.65, 2 Tc 2.68-2.84, 1 Np 2.73

Summary:
Total DFT energy (no corrections) (eV/atom): -10.69
Excess energy over the best structure of this formula in the dataset (meV per atom): 437

=====

[2]
Computed, not measured: NpUTcMo after structural relaxation at the PBE-GGA level of DFT.

Cell lengths 4.6490, 4.6490, 4.6490 Å; angles 60.00, 60.00, 60.00 degrees
With the nearest neighbours (Å) after each atom.
Sites, in units of the cell vectors:
Np 0.0000 0.0000 0.0000  4 Tc 2.85, 4 U 2.85
U 0.2500 0.2500 0.2500  4 Mo 2.85, 4 Np 2.85
Tc 0.7500 0.7500 0.7500  4 Mo 2.85, 4 Np 2.85
Mo 0.5000 0.5000 0.5000  4 Tc 2.85, 4 U 2.85

Summary:
Total DFT energy (no corrections) (eV/atom): -11.20

=====

Ρ values (in g/cm³) by entry order: 14.02, 15.63.
ΔH_f (0 K) values (in meV per atom) by entry order: 684, 153.